Record 1
# PBE CaPrCd5, relaxed
# Total energy in eV/atom: -1.76
# ΔH_f (0 K) in meV/atom: -142
# Density in Mg/m³: 6.2
data_CaPrCd5
_symmetry_space_group_name_H-M 'C m m m'
_symmetry_Int_Tables_number 65
_symmetry_space_group_name_Hall '-C 2 2'
_cell_length_a 6.4320
_cell_length_b 8.8929
_cell_length_c 6.9219
_cell_angle_alpha 90.00
_cell_angle_beta 90.00
_cell_angle_gamma 90.00
loop_
_atom_site_label
_atom_site_type_symbol
_atom_site_fract_x
_atom_site_fract_y
_atom_site_fract_z
_atom_site_occupancy
Ca1 Ca 0.0000 0.0000 0.0000 1
Pr1 Pr 0.0000 0.5000 0.5000 1
Cd1 Cd 0.0000 0.5000 0.0000 1
Cd2 Cd 0.2500 0.2500 0.2560 1

Record 2
# PBE CaPr3Cd4, relaxed
# Total energy in eV/atom: -2.84
# ΔH_f (0 K) in meV/atom: -337
# Density in Mg/m³: 6.5
data_CaPr3Cd4
_symmetry_space_group_name_H-M 'P 4/m m m'
_symmetry_Int_Tables_number 123
_symmetry_space_group_name_Hall '-P 4 2'
_cell_length_a 5.4516
_cell_length_b 5.4516
_cell_length_c 7.8212
_cell_angle_alpha 90.00
_cell_angle_beta 90.00
_cell_angle_gamma 90.00
loop_
_atom_site_label
_atom_site_type_symbol
_atom_site_fract_x
_atom_site_fract_y
_atom_site_fract_z
_atom_site_occupancy
Ca1 Ca 0.0000 0.0000 0.0000 1
Pr1 Pr 0.0000 0.0000 0.5000 1
Pr2 Pr 0.5000 0.5000 0.0000 1
Pr3 Pr 0.5000 0.5000 0.5000 1
Cd1 Cd 0.0000 0.5000 0.2463 1

Record 3
# PBE CaPr6Cd5, relaxed
# Total energy in eV/atom: -3.18
# ΔH_f (0 K) in meV/atom: -244
# Density in Mg/m³: 6.6
data_CaPr6Cd5
_symmetry_space_group_name_H-M 'I m m m'
_symmetry_Int_Tables_number 71
_symmetry_space_group_name_Hall '-I 2 2'
_cell_length_a 5.5453
_cell_length_b 7.8162
_cell_length_c 16.7357
_cell_angle_alpha 90.00
_cell_angle_beta 90.00
_cell_angle_gamma 90.00
loop_
_atom_site_label
_atom_site_type_symbol
_atom_site_fract_x
_atom_site_fract_y
_atom_site_fract_z
_atom_site_occupancy
Ca1 Ca 0.0000 0.0000 0.0000 1
Pr1 Pr 0.0000 0.2300 0.5000 1
Pr2 Pr 0.0000 0.2583 0.1727 1
Cd1 Cd 0.0000 0.0000 0.3321 1
Cd2 Cd 0.0000 0.5000 0.0000 1
Cd3 Cd 0.0000 0.5000 0.3461 1

Record 4
# PBE CaPrCd4, relaxed
# Energy relative to the lowest polymorph listed for this composition in meV/atom: 0
# Total energy in eV/atom: -2.08
# ΔH_f (0 K) in meV/atom: -340
# Density in Mg/m³: 6.5
data_CaPrCd4
_symmetry_space_group_name_H-M 'C 1 2 1'
_symmetry_Int_Tables_number 5
_symmetry_space_group_name_Hall 'C 2y'
_cell_length_a 8.9938
_cell_length_b 8.5577
_cell_length_c 5.0174
_cell_angle_alpha 90.00
_cell_angle_beta 123.69
_cell_angle_gamma 90.00
loop_
_atom_site_label
_atom_site_type_symbol
_atom_site_fract_x
_atom_site_fract_y
_atom_site_fract_z
_atom_site_occupancy
Ca1 Ca 0.0000 0.0000 0.0000 1
Pr1 Pr 0.0000 0.5465 0.5000 1
Cd1 Cd 0.2136 0.3544 0.2134 1
Cd2 Cd 0.2272 0.1876 0.7266 1

Record 5
# PBE CaPr3Cd2, relaxed
# Energy relative to the lowest polymorph listed for this composition in meV/atom: 60
# Total energy in eV/atom: -3.18
# ΔH_f (0 K) in meV/atom: -148
# Density in Mg/m³: 6.0
data_CaPr3Cd2
_symmetry_space_group_name_H-M 'C 1 2/m 1'
_symmetry_Int_Tables_number 12
_symmetry_space_group_name_Hall '-C 2y'
_cell_length_a 16.6901
_cell_length_b 5.5522
_cell_length_c 9.3945
_cell_angle_alpha 90.00
_cell_angle_beta 118.16
_cell_angle_gamma 90.00
loop_
_atom_site_label
_atom_site_type_symbol
_atom_site_fract_x
_atom_site_fract_y
_atom_site_fract_z
_atom_site_occupancy
Ca1 Ca 0.1331 0.0000 0.1899 1
Pr1 Pr 0.0610 0.0000 0.7174 1
Pr2 Pr 0.1197 0.5000 0.5433 1
Pr3 Pr 0.1907 0.5000 0.0037 1
Cd1 Cd 0.0240 0.5000 0.1672 1
Cd2 Cd 0.2349 0.0000 0.6011 1

Record 6
# PBE CaPrCd, relaxed
# Energy relative to the lowest polymorph listed for this composition in meV/atom: 0
# Total energy in eV/atom: -2.77
# ΔH_f (0 K) in meV/atom: -202
# Density in Mg/m³: 5.1
data_CaPrCd
_symmetry_space_group_name_H-M 'P 63/m m c'
_symmetry_Int_Tables_number 194
_symmetry_space_group_name_Hall '-P 6c 2c'
_cell_length_a 5.5693
_cell_length_b 5.5693
_cell_length_c 7.0614
_cell_angle_alpha 90.00
_cell_angle_beta 90.00
_cell_angle_gamma 120.00
loop_
_atom_site_label
_atom_site_type_symbol
_atom_site_fract_x
_atom_site_fract_y
_atom_site_fract_z
_atom_site_occupancy
Ca1 Ca 0.0000 0.0000 0.0000 1
Pr1 Pr 0.3333 0.6667 0.2500 1
Cd1 Cd 0.3333 0.6667 0.7500 1

Record 7
# PBE Ca5PrCd3, relaxed
# Total energy in eV/atom: -2.14
# ΔH_f (0 K) in meV/atom: -197
# Density in Mg/m³: 3.9
data_Ca5PrCd3
_symmetry_space_group_name_H-M 'P 63/m c m'
_symmetry_Int_Tables_number 193
_symmetry_space_group_name_Hall '-P 6c 2'
_cell_length_a 9.7616
_cell_length_b 9.7616
_cell_length_c 6.9884
_cell_angle_alpha 90.00
_cell_angle_beta 90.00
_cell_angle_gamma 120.00
loop_
_atom_site_label
_atom_site_type_symbol
_atom_site_fract_x
_atom_site_fract_y
_atom_site_fract_z
_atom_site_occupancy
Ca1 Ca 0.0000 0.3362 0.2500 1
Ca2 Ca 0.3333 0.6667 0.0000 1
Pr1 Pr 0.0000 0.0000 0.0000 1
Cd1 Cd 0.0000 0.3273 0.7500 1

Record 8
# PBE Ca2PrCd9, relaxed
# Total energy in eV/atom: -1.67
# ΔH_f (0 K) in meV/atom: -256
# Density in Mg/m³: 6.8
data_Ca2PrCd9
_symmetry_space_group_name_H-M 'R -3 m'
_symmetry_Int_Tables_number 166
_symmetry_space_group_name_Hall '-R 3 2"'
_cell_length_a 6.0207
_cell_length_b 6.0207
_cell_length_c 28.7375
_cell_angle_alpha 90.00
_cell_angle_beta 90.00
_cell_angle_gamma 120.00
loop_
_atom_site_label
_atom_site_type_symbol
_atom_site_fract_x
_atom_site_fract_y
_atom_site_fract_z
_atom_site_occupancy
Ca1 Ca 0.0000 0.0000 0.1422 1
Pr1 Pr 0.0000 0.0000 0.0000 1
Cd1 Cd 0.0000 0.0000 0.3352 1
Cd2 Cd 0.0000 0.0000 0.5000 1
Cd3 Cd 0.0079 0.5040 0.9154 1

Record 9
# PBE CaPr5Cd3, relaxed
# Total energy in eV/atom: -3.37
# ΔH_f (0 K) in meV/atom: -183
# Density in Mg/m³: 6.3
data_CaPr5Cd3
_symmetry_space_group_name_H-M 'P 63/m c m'
_symmetry_Int_Tables_number 193
_symmetry_space_group_name_Hall '-P 6c 2'
_cell_length_a 9.5970
_cell_length_b 9.5970
_cell_length_c 7.1042
_cell_angle_alpha 90.00
_cell_angle_beta 90.00
_cell_angle_gamma 120.00
loop_
_atom_site_label
_atom_site_type_symbol
_atom_site_fract_x
_atom_site_fract_y
_atom_site_fract_z
_atom_site_occupancy
Ca1 Ca 0.0000 0.0000 0.0000 1
Pr1 Pr 0.0000 0.3337 0.2500 1
Pr2 Pr 0.3333 0.6667 0.0000 1
Cd1 Cd 0.0000 0.3316 0.7500 1

Record 10
# PBE CaPrCd4, relaxed
# Energy relative to the lowest polymorph listed for this composition in meV/atom: 36
# Total energy in eV/atom: -2.05
# ΔH_f (0 K) in meV/atom: -305
# Density in Mg/m³: 6.8
data_CaPrCd4
_symmetry_space_group_name_H-M 'F -4 3 m'
_symmetry_Int_Tables_number 216
_symmetry_space_group_name_Hall 'F -4 2 3'
_cell_length_a 8.5135
_cell_length_b 8.5135
_cell_length_c 8.5135
_cell_angle_alpha 90.00
_cell_angle_beta 90.00
_cell_angle_gamma 90.00
loop_
_atom_site_label
_atom_site_type_symbol
_atom_site_fract_x
_atom_site_fract_y
_atom_site_fract_z
_atom_site_occupancy
Ca1 Ca 0.0000 0.0000 0.0000 1
Pr1 Pr 0.2500 0.2500 0.7500 1
Cd1 Cd 0.1245 0.1245 0.3755 1

Record 11
# PBE Ca2PrCd3, relaxed
# Energy relative to the lowest polymorph listed for this composition in meV/atom: 0
# Total energy in eV/atom: -2.29
# ΔH_f (0 K) in meV/atom: -365
# Density in Mg/m³: 5.4
data_Ca2PrCd3
_symmetry_space_group_name_H-M 'P -3 m 1'
_symmetry_Int_Tables_number 164
_symmetry_space_group_name_Hall '-P 3 2"'
_cell_length_a 5.4424
_cell_length_b 5.4424
_cell_length_c 6.7012
_cell_angle_alpha 90.00
_cell_angle_beta 90.00
_cell_angle_gamma 120.00
loop_
_atom_site_label
_atom_site_type_symbol
_atom_site_fract_x
_atom_site_fract_y
_atom_site_fract_z
_atom_site_occupancy
Ca1 Ca 0.3333 0.6667 0.1622 1
Pr1 Pr 0.0000 0.0000 0.5000 1
Cd1 Cd 0.0000 0.0000 0.0000 1
Cd2 Cd 0.3333 0.6667 0.6642 1

Record 12
# PBE Ca2PrCd3, relaxed
# Energy relative to the lowest polymorph listed for this composition in meV/atom: 21
# Total energy in eV/atom: -2.27
# ΔH_f (0 K) in meV/atom: -344
# Density in Mg/m³: 5.4
data_Ca2PrCd3
_symmetry_space_group_name_H-M 'P 4/m m m'
_symmetry_Int_Tables_number 123
_symmetry_space_group_name_Hall '-P 4 2'
_cell_length_a 3.8081
_cell_length_b 3.8081
_cell_length_c 11.8437
_cell_angle_alpha 90.00
_cell_angle_beta 90.00
_cell_angle_gamma 90.00
loop_
_atom_site_label
_atom_site_type_symbol
_atom_site_fract_x
_atom_site_fract_y
_atom_site_fract_z
_atom_site_occupancy
Ca1 Ca 0.0000 0.0000 0.1630 1
Pr1 Pr 0.0000 0.0000 0.5000 1
Cd1 Cd 0.5000 0.5000 0.0000 1
Cd2 Cd 0.5000 0.5000 0.3295 1

Record 13
# PBE CaPr2Cd3, relaxed
# Energy relative to the lowest polymorph listed for this composition in meV/atom: 14
# Total energy in eV/atom: -2.72
# ΔH_f (0 K) in meV/atom: -338
# Density in Mg/m³: 6.3
data_CaPr2Cd3
_symmetry_space_group_name_H-M 'P 4/m m m'
_symmetry_Int_Tables_number 123
_symmetry_space_group_name_Hall '-P 4 2'
_cell_length_a 3.8521
_cell_length_b 3.8521
_cell_length_c 11.7514
_cell_angle_alpha 90.00
_cell_angle_beta 90.00
_cell_angle_gamma 90.00
loop_
_atom_site_label
_atom_site_type_symbol
_atom_site_fract_x
_atom_site_fract_y
_atom_site_fract_z
_atom_site_occupancy
Ca1 Ca 0.0000 0.0000 0.0000 1
Pr1 Pr 0.0000 0.0000 0.3338 1
Cd1 Cd 0.5000 0.5000 0.1668 1
Cd2 Cd 0.5000 0.5000 0.5000 1

Record 14
# PBE CaPrCd, relaxed
# Energy relative to the lowest polymorph listed for this composition in meV/atom: 179
# Total energy in eV/atom: -2.59
# ΔH_f (0 K) in meV/atom: -23
# Density in Mg/m³: 4.5
data_CaPrCd
_symmetry_space_group_name_H-M 'F -4 3 m'
_symmetry_Int_Tables_number 216
_symmetry_space_group_name_Hall 'F -4 2 3'
_cell_length_a 7.5409
_cell_length_b 7.5409
_cell_length_c 7.5409
_cell_angle_alpha 90.00
_cell_angle_beta 90.00
_cell_angle_gamma 90.00
loop_
_atom_site_label
_atom_site_type_symbol
_atom_site_fract_x
_atom_site_fract_y
_atom_site_fract_z
_atom_site_occupancy
Ca1 Ca 0.0000 0.0000 0.0000 1
Pr1 Pr 0.0000 0.0000 0.5000 1
Cd1 Cd 0.2500 0.2500 0.7500 1

Record 15
# PBE CaPrCd17, relaxed
# Total energy in eV/atom: -1.32
# ΔH_f (0 K) in meV/atom: -147
# Density in Mg/m³: 7.8
data_CaPrCd17
_symmetry_space_group_name_H-M 'R 3 m'
_symmetry_Int_Tables_number 160
_symmetry_space_group_name_Hall 'R 3 -2"'
_cell_length_a 10.1429
_cell_length_b 10.1429
_cell_length_c 15.0463
_cell_angle_alpha 90.00
_cell_angle_beta 90.00
_cell_angle_gamma 120.00
loop_
_atom_site_label
_atom_site_type_symbol
_atom_site_fract_x
_atom_site_fract_y
_atom_site_fract_z
_atom_site_occupancy
Ca1 Ca 0.0000 0.0000 0.0000 1
Pr1 Pr 0.0000 0.0000 0.6656 1
Cd1 Cd 0.0000 0.0000 0.2334 1
Cd2 Cd 0.0000 0.0000 0.4354 1
Cd3 Cd 0.0041 0.5020 0.8339 1
Cd4 Cd 0.0214 0.5107 0.4828 1
Cd5 Cd 0.0328 0.3653 0.0009 1
Cd6 Cd 0.1700 0.3401 0.5203 1

Record 16
# PBE Ca3PrCd4, relaxed
# Total energy in eV/atom: -2.16
# ΔH_f (0 K) in meV/atom: -358
# Density in Mg/m³: 5.2
data_Ca3PrCd4
_symmetry_space_group_name_H-M 'R -3 m'
_symmetry_Int_Tables_number 166
_symmetry_space_group_name_Hall '-R 3 2"'
_cell_length_a 5.4381
_cell_length_b 5.4381
_cell_length_c 26.7654
_cell_angle_alpha 90.00
_cell_angle_beta 90.00
_cell_angle_gamma 120.00
loop_
_atom_site_label
_atom_site_type_symbol
_atom_site_fract_x
_atom_site_fract_y
_atom_site_fract_z
_atom_site_occupancy
Ca1 Ca 0.0000 0.0000 0.0000 1
Ca2 Ca 0.0000 0.0000 0.2513 1
Pr1 Pr 0.0000 0.0000 0.5000 1
Cd1 Cd 0.0000 0.0000 0.1245 1
Cd2 Cd 0.0000 0.0000 0.3751 1

Record 17
# PBE Ca2Pr2Cd15, relaxed
# Total energy in eV/atom: -1.61
# ΔH_f (0 K) in meV/atom: -175
# Density in Mg/m³: 7.2
data_Ca2Pr2Cd15
_symmetry_space_group_name_H-M 'R -3 m'
_symmetry_Int_Tables_number 166
_symmetry_space_group_name_Hall '-R 3 2"'
_cell_length_a 10.2065
_cell_length_b 10.2065
_cell_length_c 15.6272
_cell_angle_alpha 90.00
_cell_angle_beta 90.00
_cell_angle_gamma 120.00
loop_
_atom_site_label
_atom_site_type_symbol
_atom_site_fract_x
_atom_site_fract_y
_atom_site_fract_z
_atom_site_occupancy
Ca1 Ca 0.0000 0.0000 0.1025 1
Pr1 Pr 0.0000 0.0000 0.3375 1
Cd1 Cd 0.0000 0.2959 0.0000 1
Cd2 Cd 0.0000 0.5000 0.5000 1
Cd3 Cd 0.0152 0.5076 0.1402 1

Record 18
# PBE CaPrCd3, relaxed
# Total energy in eV/atom: -2.23
# ΔH_f (0 K) in meV/atom: -325
# Density in Mg/m³: 6.3
data_CaPrCd3
_symmetry_space_group_name_H-M 'C m c m'
_symmetry_Int_Tables_number 63
_symmetry_space_group_name_Hall '-C 2c 2'
_cell_length_a 3.5862
_cell_length_b 30.0145
_cell_length_c 5.1028
_cell_angle_alpha 90.00
_cell_angle_beta 90.00
_cell_angle_gamma 90.00
loop_
_atom_site_label
_atom_site_type_symbol
_atom_site_fract_x
_atom_site_fract_y
_atom_site_fract_z
_atom_site_occupancy
Ca1 Ca 0.0000 0.2117 0.2500 1
Pr1 Pr 0.0000 0.0740 0.7500 1
Cd1 Cd 0.0000 0.3254 0.2500 1
Cd2 Cd 0.0000 0.3789 0.7500 1
Cd3 Cd 0.0000 0.4763 0.7500 1

Record 19
# PBE Ca2PrCd6, relaxed
# Total energy in eV/atom: -1.92
# ΔH_f (0 K) in meV/atom: -334
# Density in Mg/m³: 6.3
data_Ca2PrCd6
_symmetry_space_group_name_H-M 'P 6/m m m'
_symmetry_Int_Tables_number 191
_symmetry_space_group_name_Hall '-P 6 2'
_cell_length_a 8.7669
_cell_length_b 8.7669
_cell_length_c 3.5570
_cell_angle_alpha 90.00
_cell_angle_beta 90.00
_cell_angle_gamma 120.00
loop_
_atom_site_label
_atom_site_type_symbol
_atom_site_fract_x
_atom_site_fract_y
_atom_site_fract_z
_atom_site_occupancy
Ca1 Ca 0.3333 0.6667 0.0000 1
Pr1 Pr 0.0000 0.0000 0.0000 1
Cd1 Cd 0.0000 0.3353 0.5000 1

Record 20
# PBE CaPr5Cd6, relaxed
# Total energy in eV/atom: -2.94
# ΔH_f (0 K) in meV/atom: -329
# Density in Mg/m³: 6.7
data_CaPr5Cd6
_symmetry_space_group_name_H-M 'C m m m'
_symmetry_Int_Tables_number 65
_symmetry_space_group_name_Hall '-C 2 2'
_cell_length_a 5.4771
_cell_length_b 16.4447
_cell_length_c 7.7665
_cell_angle_alpha 90.00
_cell_angle_beta 90.00
_cell_angle_gamma 90.00
loop_
_atom_site_label
_atom_site_type_symbol
_atom_site_fract_x
_atom_site_fract_y
_atom_site_fract_z
_atom_site_occupancy
Ca1 Ca 0.0000 0.0000 0.0000 1
Pr1 Pr 0.0000 0.0000 0.5000 1
Pr2 Pr 0.0000 0.3318 0.5000 1
Pr3 Pr 0.0000 0.3355 0.0000 1
Cd1 Cd 0.0000 0.1658 0.2471 1
Cd2 Cd 0.0000 0.5000 0.2493 1

Record 21
# PBE Ca2PrCd5, relaxed
# Total energy in eV/atom: -1.99
# ΔH_f (0 K) in meV/atom: -317
# Density in Mg/m³: 6.1
data_Ca2PrCd5
_symmetry_space_group_name_H-M 'I 4/m m m'
_symmetry_Int_Tables_number 139
_symmetry_space_group_name_Hall '-I 4 2'
_cell_length_a 5.3260
_cell_length_b 5.3260
_cell_length_c 15.0070
_cell_angle_alpha 90.00
_cell_angle_beta 90.00
_cell_angle_gamma 90.00
loop_
_atom_site_label
_atom_site_type_symbol
_atom_site_fract_x
_atom_site_fract_y
_atom_site_fract_z
_atom_site_occupancy
Ca1 Ca 0.0000 0.0000 0.2403 1
Pr1 Pr 0.0000 0.0000 0.5000 1
Cd1 Cd 0.0000 0.0000 0.0000 1
Cd2 Cd 0.0000 0.5000 0.1215 1

Record 22
# PBE Ca3PrCd8, relaxed
# Total energy in eV/atom: -1.83
# ΔH_f (0 K) in meV/atom: -319
# Density in Mg/m³: 6.3
data_Ca3PrCd8
_symmetry_space_group_name_H-M 'P 3 m 1'
_symmetry_Int_Tables_number 156
_symmetry_space_group_name_Hall 'P 3 -2"'
_cell_length_a 6.0850
_cell_length_b 6.0850
_cell_length_c 9.6101
_cell_angle_alpha 90.00
_cell_angle_beta 90.00
_cell_angle_gamma 120.00
loop_
_atom_site_label
_atom_site_type_symbol
_atom_site_fract_x
_atom_site_fract_y
_atom_site_fract_z
_atom_site_occupancy
Ca1 Ca 0.0000 0.0000 0.0000 1
Ca2 Ca 0.0000 0.0000 0.3821 1
Ca3 Ca 0.3333 0.6667 0.8793 1
Pr1 Pr 0.3333 0.6667 0.5003 1
Cd1 Cd 0.0083 0.5041 0.1907 1
Cd2 Cd 0.3262 0.1631 0.6908 1
Cd3 Cd 0.6667 0.3333 0.4411 1
Cd4 Cd 0.6667 0.3333 0.9423 1

| no. | N(E_F) (states/eV/f.u.) |
| --- | --- |
| 1 | 3.5 |
| 2 | 7.4 |
| 3 | 14.3 |
| 4 | 4.3 |
| 5 | 6.5 |
| 6 | 5.2 |
| 7 | 9.2 |
| 8 | 8.3 |
| 9 | 10.0 |
| 10 | 3.2 |
| 11 | 4.2 |
| 12 | 6.8 |
| 13 | 5.3 |
| 14 | 4.0 |
| 15 | 6.3 |
| 16 | 6.6 |
| 17 | 8.8 |
| 18 | 3.8 |
| 19 | 6.7 |
| 20 | 12.9 |
| 21 | 4.7 |
| 22 | 7.4 |